Record 1
First-principles (PBE) data for a relaxed Tb5ErGa6 crystal, as listed in Alexandria.

Structure (extended XYZ):
```
12
Lattice="2.529 -7.591 0.000 2.529 7.591 0.000 0.000 0.000 7.150" Properties=species:S:1:pos:R:3 pbc="T T T"
Tb 0.000 0.000 0.000
Tb 2.529 2.545 0.000
Tb 2.529 2.523 3.575
Tb 2.529 -2.523 3.575
Tb 2.529 -2.545 0.000
Er 0.000 0.000 3.575
Ga 2.529 5.077 1.802
Ga 2.529 5.077 5.349
Ga 2.529 0.000 1.797
Ga 2.529 0.000 5.354
Ga 2.529 -5.077 1.802
Ga 2.529 -5.077 5.349
```

Output
SG   No. 65

Record 2
First-principles (PBE) data for a relaxed LiLaTl crystal, as listed in Alexandria.

Structure (extended XYZ):
```
3
Lattice="5.126 0.000 0.000 -2.563 4.439 0.000 0.000 0.000 3.555" Properties=species:S:1:pos:R:3 pbc="T T T"
Li 0.000 0.000 0.000
La 2.563 1.480 1.778
Tl 0.000 2.959 0.000
```

Output
SG   No. 187
Excess energy over the best structure of this formula in the dataset   0.0 meV per atom

Record 3
First-principles (PBE) data for a relaxed TiCu2Bi crystal, as listed in Alexandria.

Structure (extended XYZ):
```
4
Lattice="4.032 0.000 0.000 0.000 4.032 0.000 0.000 0.000 4.135" Properties=species:S:1:pos:R:3 pbc="T T T"
Ti 0.000 0.000 0.000
Cu 0.000 2.016 2.068
Cu 2.016 0.000 2.068
Bi 2.016 2.016 0.000
```

Output
SG   No. 123

Record-wise E_form values, in meV per atom: -585 -311 68